Material: LaErSiAg
Method: DFT, PBE
State: optimized geometry

It has space group F-43m (No. 216), with a = 7.311 Å, b = 7.311 Å, c = 7.311 Å, α = 90.00°, β = 90.00° and γ = 90.00°. The asymmetric unit holds La at (0.000, 0.000, 0.000), Er at (0.000, 0.000, 0.500), Si at (0.250, 0.250, 0.250) and Ag at (0.250, 0.250, 0.750).

The calculation puts the calculated density at 7.515 g cm⁻³. The magnetic moment comes out at 0.0001 μB/atom. The crystal system is cubic. The value obtained for the formation energy from raw total energies is -40 kJ per mole of atoms.